1.
## Sr3Rh3N5 (PBE)

Data for an optimized crystal structure of Sr3Rh3N5.

a = 6.360 Å, b = 7.858 Å, c = 8.350 Å
α = 104.18°, β = 110.90°, γ = 101.56°
Fractional positions:
Sr: 0.174 0.348 0.387
Sr: 0.220 0.180 0.737
Sr: 0.238 0.907 0.090
Sr: 0.762 0.093 0.910
Sr: 0.780 0.820 0.263
Sr: 0.826 0.652 0.613
Rh: 0.245 0.490 0.083
Rh: 0.359 0.845 0.499
Rh: 0.423 0.689 0.816
Rh: 0.577 0.311 0.184
Rh: 0.641 0.155 0.501
Rh: 0.755 0.510 0.917
N: 0.203 0.538 0.865
N: 0.220 0.231 0.078
N: 0.224 0.013 0.402
N: 0.294 0.863 0.720
N: 0.410 0.650 0.333
N: 0.590 0.350 0.667
N: 0.706 0.137 0.280
N: 0.776 0.987 0.598
N: 0.780 0.769 0.922
N: 0.797 0.462 0.135

Fermi-level density of states in states/eV/atom: 0.321
Uncorrected formation energy in eV per atom: -0.17
Space-group type: P-1, No. 2

***

2.
## ScCuAsPb2 (PBE)

Data for an optimized crystal structure of ScCuAsPb2.

a = 5.341 Å, b = 5.341 Å, c = 4.569 Å
α = 90.00°, β = 90.00°, γ = 90.00°
Fractional positions:
Sc: 0.000 0.000 0.000
Cu: 0.500 0.500 0.500
As: 0.500 0.500 0.000
Pb: 0.000 0.500 0.500
Pb: 0.500 0.000 0.500

Fermi-level density of states in states/eV/atom: 0.864
E_form in eV per atom: 0.256
Space-group type: P4/mmm, No. 123